Entry 1:
Entry from the Alexandria database: an optimized crystal structure of CePrBi (GGA-PBE). Values from VASP.

Quantum ESPRESSO input file:
```
&SYSTEM
  ibrav = 0, nat = 6, ntyp = 3
/
ATOMIC_SPECIES
Bi 208.98 Bi.upf
Pr 140.91 Pr.upf
Ce 140.12 Ce.upf
CELL_PARAMETERS angstrom
4.533 0.000 0.000
0.000 4.533 0.000
0.000 0.000 10.282
ATOMIC_POSITIONS crystal
Bi 0.000 0.500 0.644
Bi 0.500 0.000 0.356
Pr 0.500 0.000 0.672
Pr 0.000 0.500 0.328
Ce 0.000 0.500 0.952
Ce 0.500 0.000 0.048
```

Output
Calculated formation energy ... -313 meV per atom
Electronic total energy ... -5.18 eV/atom



Entry 2:
Entry from the Alexandria database: an optimized crystal structure of Ce2PrBi3 (GGA-PBE). Values from VASP.

Quantum ESPRESSO input file:
```
&SYSTEM
  ibrav = 0, nat = 6, ntyp = 3
/
ATOMIC_SPECIES
Ce 140.12 Ce.upf
Pr 140.91 Pr.upf
Bi 208.98 Bi.upf
CELL_PARAMETERS angstrom
4.615 0.000 0.000
0.000 6.525 0.000
-2.308 -3.262 6.926
ATOMIC_POSITIONS crystal
Ce 0.834 0.834 0.168
Ce 0.166 0.166 0.832
Pr 0.500 0.500 0.500
Bi 0.831 0.331 0.162
Bi 0.169 0.669 0.838
Bi 0.500 0.000 0.500
```

Output
Calculated formation energy ... -850 meV per atom
Electronic total energy ... -5.57 eV/atom



Entry 3:
Entry from the Alexandria database: an optimized crystal structure of CePr4Bi5 (GGA-PBE). Values from VASP.

Quantum ESPRESSO input file:
```
&SYSTEM
  ibrav = 0, nat = 10, ntyp = 3
/
ATOMIC_SPECIES
Ce 140.12 Ce.upf
Pr 140.91 Pr.upf
Bi 208.98 Bi.upf
CELL_PARAMETERS angstrom
4.636 0.000 0.000
0.000 4.636 0.000
-2.318 -2.318 16.367
ATOMIC_POSITIONS crystal
Ce 0.000 0.000 0.000
Pr 0.399 0.399 0.799
Pr 0.800 0.800 0.600
Pr 0.200 0.200 0.400
Pr 0.601 0.601 0.201
Bi 0.099 0.099 0.198
Bi 0.500 0.500 0.000
Bi 0.901 0.901 0.802
Bi 0.300 0.300 0.600
Bi 0.700 0.700 0.400
```

Output
Calculated formation energy ... -928 meV per atom
Polymorph energy (0 for the lowest one) ... 2 meV/atom
Electronic total energy ... -5.37 eV/atom



Entry 4:
Entry from the Alexandria database: an optimized crystal structure of CePrBi2 (GGA-PBE). Values from VASP.

Quantum ESPRESSO input file:
```
&SYSTEM
  ibrav = 0, nat = 4, ntyp = 3
/
ATOMIC_SPECIES
Pr 140.91 Pr.upf
Bi 208.98 Bi.upf
Ce 140.12 Ce.upf
CELL_PARAMETERS angstrom
3.450 0.000 0.000
0.000 5.997 0.000
0.000 0.000 5.997
ATOMIC_POSITIONS crystal
Pr 0.500 0.000 0.000
Bi 0.000 0.000 0.500
Bi 0.000 0.500 0.000
Ce 0.500 0.500 0.500
```

Output
Calculated formation energy ... -710 meV per atom
Polymorph energy (0 for the lowest one) ... 171 meV/atom
Electronic total energy ... -5.33 eV/atom



Entry 5:
Entry from the Alexandria database: an optimized crystal structure of CePr5Bi6 (GGA-PBE). Values from VASP.

Quantum ESPRESSO input file:
```
&SYSTEM
  ibrav = 0, nat = 12, ntyp = 3
/
ATOMIC_SPECIES
Ce 140.12 Ce.upf
Pr 140.91 Pr.upf
Bi 208.98 Bi.upf
CELL_PARAMETERS angstrom
-1.395 1.141 -7.824
-4.054 -6.271 -2.937
-8.027 0.026 0.063
ATOMIC_POSITIONS crystal
Ce 0.000 0.000 0.000
Pr 0.500 0.168 0.664
Pr 0.000 0.334 0.332
Pr 0.500 0.500 0.000
Pr 0.000 0.666 0.668
Pr 0.500 0.832 0.336
Bi 0.752 0.083 0.330
Bi 0.248 0.587 0.330
Bi 0.249 0.247 0.000
Bi 0.751 0.753 0.000
Bi 0.752 0.413 0.670
Bi 0.248 0.917 0.670
```

Output
Calculated formation energy ... -936 meV per atom
Electronic total energy ... -5.36 eV/atom



Entry 6:
Entry from the Alexandria database: an optimized crystal structure of CePrBi2 (GGA-PBE). Values from VASP.

Quantum ESPRESSO input file:
```
&SYSTEM
  ibrav = 0, nat = 8, ntyp = 3
/
ATOMIC_SPECIES
Ce 140.12 Ce.upf
Pr 140.91 Pr.upf
Bi 208.98 Bi.upf
CELL_PARAMETERS angstrom
4.780 0.000 0.000
0.000 4.477 0.000
0.000 -2.239 12.808
ATOMIC_POSITIONS crystal
Ce 0.250 0.186 0.371
Ce 0.750 0.814 0.629
Pr 0.250 0.439 0.878
Pr 0.750 0.561 0.122
Bi 0.750 0.688 0.376
Bi 0.250 0.312 0.624
Bi 0.750 0.943 0.886
Bi 0.250 0.057 0.114
```

Output
Calculated formation energy ... -804 meV per atom
Polymorph energy (0 for the lowest one) ... 76 meV/atom
Electronic total energy ... -5.42 eV/atom